(1)
The following is a DFT calculation (PBE) of HoEr3Tl4S8 after structural relaxation.

```
16
Lattice="3.9990 2.3088 7.5242 -3.9990 2.3088 7.5242 0.0000 -4.6177 7.5242" Properties=species:S:1:pos:R:3 pbc="T T T"
Ho 0.0000 0.0000 0.0000
Er -1.9995 -1.1544 7.5242
Er -1.9995 1.1544 15.0484
Er 0.0000 2.3088 7.5242
Tl -3.9990 0.0000 11.2863
Tl -1.9995 1.1544 3.7621
Tl 1.9995 1.1544 3.7621
Tl 0.0000 0.0000 11.2863
S 0.0000 -2.3026 9.0018
S -1.9941 1.1513 9.0018
S 0.0000 0.0000 6.0496
S -1.9942 -1.1513 13.5707
S 1.9941 1.1513 9.0018
S 0.0000 0.0000 16.5230
S 1.9942 -1.1513 13.5707
S 0.0000 2.3026 13.5707
```

Results
The value obtained for the volume is 26.05 Å³ per atom. The uncorrected energy is -0.1943 hartree per atom. For the formation energy without anion corrections, the calculation gives -1.4904 eV/atom.

---

(2)
The following is a DFT calculation (PBE) of Ho3ErTl4S8 after structural relaxation.

```
16
Lattice="4.0077 2.3138 7.5230 -4.0077 2.3138 7.5230 0.0000 -4.6277 7.5230" Properties=species:S:1:pos:R:3 pbc="T T T"
Ho -2.0038 -1.1569 7.5230
Ho -2.0038 1.1569 15.0460
Ho 0.0000 2.3138 7.5230
Er 0.0000 0.0000 0.0000
Tl -4.0077 0.0000 11.2845
Tl -2.0038 1.1569 3.7615
Tl 2.0038 1.1569 3.7615
Tl 0.0000 0.0000 11.2845
S 0.0000 -2.3207 9.0023
S -2.0098 1.1603 9.0023
S -2.0098 -1.1603 13.5668
S 0.0000 0.0000 6.0407
S 0.0000 0.0000 16.5284
S 2.0098 1.1603 9.0022
S 2.0098 -1.1603 13.5668
S 0.0000 2.3207 13.5668
```

Results
The value obtained for the volume is 26.16 Å³ per atom. The uncorrected energy is -0.1944 hartree per atom. For the formation energy without anion corrections, the calculation gives -1.4904 eV/atom.

---

(3)
The following is a DFT calculation (PBE) of HoEr2Tl3S6 after structural relaxation.

```
12
Lattice="3.4648 -6.0006 0.0000 3.4648 6.0006 0.0000 -2.3114 0.0000 7.5253" Properties=species:S:1:pos:R:3 pbc="T T T"
Ho 0.0000 0.0000 0.0000
Er 3.4648 2.0000 0.0000
Er 3.4648 -2.0000 0.0000
Tl 2.3091 4.0012 3.7627
Tl 2.3091 0.0000 3.7627
Tl 2.3091 -4.0012 3.7627
S 1.1584 2.0067 1.4774
S 0.0060 0.0000 6.0496
S 1.1584 -2.0067 1.4774
S 3.4598 2.0067 6.0480
S 4.6122 0.0000 1.4757
S 3.4598 -2.0067 6.0480
```

Results
The value obtained for the volume is 26.08 Å³ per atom. The uncorrected energy is -0.1943 hartree per atom. For the formation energy without anion corrections, the calculation gives -1.4904 eV/atom.

---

(4)
The following is a DFT calculation (PBE) of Ho2ErTl3S6 after structural relaxation.

```
12
Lattice="3.4694 -6.0095 0.0000 3.4694 6.0095 0.0000 -2.3121 0.0000 7.5237" Properties=species:S:1:pos:R:3 pbc="T T T"
Ho 3.4694 4.0068 0.0000
Ho 3.4694 -4.0068 0.0000
Er 3.4694 0.0000 0.0000
Tl -1.1561 0.0000 3.7619
Tl 2.3134 2.0067 3.7619
Tl 2.3134 -2.0067 3.7619
S 0.0046 1.9967 6.0452
S 1.1640 0.0000 1.4810
S 0.0046 -1.9967 6.0452
S 4.6221 1.9967 1.4786
S 3.4627 0.0000 6.0427
S 4.6221 -1.9967 1.4786
```

Results
The value obtained for the volume is 26.14 Å³ per atom. The uncorrected energy is -0.1944 hartree per atom. For the formation energy without anion corrections, the calculation gives -1.4905 eV/atom.

---

(5)
The following is a DFT calculation (PBE) of Ho4ErTlS8 after structural relaxation.

```
14
Lattice="4.0895 2.3611 6.6591 -4.0895 2.3611 6.6591 0.0000 -4.7222 6.6591" Properties=species:S:1:pos:R:3 pbc="T T T"
Ho 0.0000 0.0000 0.0000
Ho 0.0000 -2.2820 10.7957
Ho -1.9763 1.1410 10.7957
Ho 1.9763 1.1410 10.7957
Er 0.0000 0.0000 7.5762
Tl 0.0000 0.0000 14.9939
S 0.0000 0.0000 2.6487
S 0.0000 -2.2158 5.7847
S -1.9189 1.1079 5.7847
S -1.7673 -1.0204 9.2629
S 1.9189 1.1079 5.7847
S 1.7674 -1.0204 9.2629
S 0.0000 2.0408 9.2629
S 0.0000 0.0000 12.1584
```

Results
The value obtained for the volume is 27.56 Å³ per atom. The uncorrected energy is -0.2196 hartree per atom. For the formation energy without anion corrections, the calculation gives -1.8149 eV/atom.

---

(6)
The following is a DFT calculation (PBE) of Ho4ErTm3S8 after structural relaxation.

```
16
Lattice="3.8634 2.2305 6.3231 -3.8634 2.2305 6.3231 0.0000 -4.4610 6.3231" Properties=species:S:1:pos:R:3 pbc="T T T"
Ho 0.0000 0.0000 0.0000
Ho -1.9317 -1.1153 6.3231
Ho -1.9317 1.1153 12.6461
Ho 0.0000 2.2305 6.3231
Er 0.0000 0.0000 9.4846
Tm -3.8634 0.0000 9.4846
Tm -1.9317 1.1153 3.1615
Tm 1.9317 1.1153 3.1615
S -1.9378 -1.1188 11.0420
S 0.0000 0.0000 4.7141
S 0.0000 -2.2376 7.9272
S -1.9378 1.1188 7.9272
S 1.9378 -1.1188 11.0420
S 0.0000 2.2376 11.0420
S 0.0000 0.0000 14.2551
S 1.9378 1.1188 7.9272
```

Results
The value obtained for the volume is 20.43 Å³ per atom. The uncorrected energy is -0.2309 hartree per atom. For the formation energy without anion corrections, the calculation gives -1.9508 eV/atom.

---

Question: What is the uncorrected energy in the third record?
Answer: -0.1943 hartree per atom